*i*
The following is a DFT calculation (meta-GGA SCAN) of a crystal of TePdI2N relaxed with PBEsol.

Lattice parameters (Å, degrees): 4.892 4.892 4.589 90.00 90.00 90.00
Fractional coordinates of all 5 atoms:
1 I 0.000 0.500 0.000
2 I 0.500 0.000 0.000
3 Te 0.000 0.000 0.500
4 Pd 0.500 0.500 0.500
5 N 0.000 0.000 0.000

N(E_F)   5.8 states/eV/cell

=====

*ii*
The following is a DFT calculation (meta-GGA SCAN) of a crystal of TePdI2N relaxed with PBEsol.

Lattice parameters (Å, degrees): 3.908 5.936 5.936 90.00 90.00 90.00
Last column: magnetic moment on the atom in μB.
Fractional coordinates of all 5 atoms:
1 I 0.000 0.000 0.500  0.05
2 I 0.000 0.500 0.000  0.05
3 Te 0.000 0.000 0.000  0.00
4 Pd 0.500 0.500 0.500  0.54
5 N 0.500 0.000 0.000  0.00

N(E_F)   4.4 states/eV/cell

=====

Most stable: *ii* (next structure +136 meV/atom)